This record from Alexandria via LeMat-Bulk describes crystalline CaAcSbAu at its relaxed geometry. The functional is PBE-GGA.

Cell: 5.5176 5.5176 5.5176 Å, 60.00 60.00 60.00°
Atoms (fractional coordinates):
Ac  0.7500  0.7500  0.7500
Ca  0.2500  0.2500  0.2500
Sb  0.5000  0.5000  0.5000
Au  0.0000  0.0000  0.0000

The value obtained for the formation energy without anion corrections is -0.8476 eV/atom. The value obtained for the uncorrected energy is -4.225 eV/atom. For the density, the calculation gives 8.19 g/cm³. The space-group type is F-43m (216). The total magnetic moment is 0.00 μB per cell.